[1]
! PBE-GGA CePm2Ge, optimized geometry; values from VASP
&SYSTEM
  ibrav = 0, nat = 4, ntyp = 3
/
ATOMIC_SPECIES
Ce 140.12 Ce.upf
Pm 145.00 Pm.upf
Ge 72.64 Ge.upf
CELL_PARAMETERS angstrom
1.9125 1.1042 9.8786
-1.9125 1.1042 9.8786
0.0000 -2.2084 9.8786
ATOMIC_POSITIONS angstrom
Ce 0.0000 0.0000 0.0000
Pm 0.0000 0.0000 16.7630
Pm 0.0000 0.0000 22.7226
Ge 0.0000 0.0000 4.9193
! Distance to the lowest polymorph of the same formula = 0.217 eV/atom

[2]
Material: CePm3Ge5
Method: DFT, PBE-GGA
State: optimized geometry Values from VASP.

Geometry as Quantum ESPRESSO input:
```
&SYSTEM
  ibrav = 0, nat = 18, ntyp = 3
/
ATOMIC_SPECIES
Ce 140.12 Ce.upf
Pm 145.00 Pm.upf
Ge 72.64 Ge.upf
CELL_PARAMETERS angstrom
9.0212 0.0000 0.0000
-4.5106 7.8126 0.0000
0.0000 0.0000 6.0821
ATOMIC_POSITIONS angstrom
Ce 0.0000 0.0000 0.0000
Ce 0.0000 0.0000 3.0410
Pm -1.7217 2.9821 1.5205
Pm -2.7889 4.8305 4.5616
Pm 3.4435 0.0000 1.5205
Pm 1.7217 2.9821 4.5616
Pm 5.5777 0.0000 4.5616
Pm 2.7889 4.8305 1.5205
Ge -1.2964 2.2455 4.5616
Ge -3.2142 5.5671 1.5205
Ge 2.5929 0.0000 4.5616
Ge 1.2964 2.2455 1.5205
Ge 0.0000 5.2084 0.0000
Ge 0.0000 5.2084 3.0410
Ge 4.5106 2.6042 0.0000
Ge 4.5106 2.6042 3.0410
Ge 6.4284 0.0000 1.5205
Ge 3.2142 5.5671 4.5616
```

[3]
Material: Ce5PmGe6
Method: DFT, PBE-GGA
State: optimized geometry Values from VASP.

Geometry as Quantum ESPRESSO input:
```
&SYSTEM
  ibrav = 0, nat = 12, ntyp = 3
/
ATOMIC_SPECIES
Ce 140.12 Ce.upf
Pm 145.00 Pm.upf
Ge 72.64 Ge.upf
CELL_PARAMETERS angstrom
3.6745 -6.3726 0.0000
3.6745 6.3726 0.0000
-2.4554 0.0000 6.9320
ATOMIC_POSITIONS angstrom
Ce 0.0000 0.0000 0.0000
Ce 2.4468 4.2440 3.4660
Ce 3.6745 2.1036 0.0000
Ce 3.6745 -2.1036 0.0000
Ce 2.4468 -4.2440 3.4660
Pm 2.4468 0.0000 3.4660
Ge 1.2017 2.1591 1.7080
Ge -0.0483 0.0000 5.2134
Ge 1.2017 -2.1591 1.7080
Ge 3.6918 2.1591 5.2240
Ge 4.9418 0.0000 1.7185
Ge 3.6918 -2.1591 5.2240
```

[4]
! PBE-GGA CePmGe, optimized geometry; values from VASP
&SYSTEM
  ibrav = 0, nat = 3, ntyp = 3
/
ATOMIC_SPECIES
Ce 140.12 Ce.upf
Pm 145.00 Pm.upf
Ge 72.64 Ge.upf
CELL_PARAMETERS angstrom
0.0000 3.5393 3.5393
3.5393 0.0000 3.5393
3.5393 3.5393 0.0000
ATOMIC_POSITIONS angstrom
Ce 0.0000 0.0000 0.0000
Pm 3.5393 3.5393 3.5393
Ge 5.3090 5.3090 5.3090
! Distance to the lowest polymorph of the same formula = 0.245 eV/atom

no.,electronic total energy (eV/atom),formation energy from the elements (kJ/mol of atoms),total moment (μB/f.u.)
1,-5.16,-14,1.68
2,-5.40,-57,0.00
3,-5.83,-63,0.00
4,-5.52,-40,1.06